Entry 1:
# TlRe2Pb

An optimized crystal structure of TlRe2Pb (PBE-GGA, Alexandria).

Cell and atoms, written as POSCAR:
```
TlRe2Pb
1.0
-3.148 3.089 1.738
-2.332 2.908 -2.928
-4.631 -0.641 -0.785
Pb Re Tl
1 2 1
direct
0.500 0.500 0.500 Pb
0.250 0.250 0.250 Re
0.750 0.750 0.750 Re
0.000 0.000 0.000 Tl
```

Magnetization: 1.63 μB per cell
Energy of formation from the pure elements: 1363 meV/atom
Total DFT energy (no corrections): -25.519 eV per cell


Entry 2:
# HoEr2Hg

An optimized crystal structure of HoEr2Hg (PBE-GGA, Alexandria).

Cell and atoms, written as POSCAR:
```
HoEr2Hg
1.0
3.572 0.000 0.000
1.786 3.093 0.000
1.786 1.031 10.478
Ho Hg Er
1 1 2
direct
0.500 0.500 0.500 Ho
0.000 0.000 0.000 Hg
0.257 0.257 0.229 Er
0.743 0.743 0.771 Er
```

Magnetization: 0.00 μB per cell
Energy of formation from the pure elements: -161 meV/atom
Total DFT energy (no corrections): -14.650 eV per cell


Entry 3:
# CaPaC

An optimized crystal structure of CaPaC (PBE-GGA, Alexandria).

Cell and atoms, written as POSCAR:
```
CaPaC
1.0
6.657 0.000 0.000
0.000 3.356 0.000
-3.329 -1.678 6.287
C Ca Pa
2 2 2
direct
0.555 0.055 0.109 C
0.445 0.945 0.891 C
0.755 0.500 0.000 Ca
0.245 0.500 0.000 Ca
0.268 0.768 0.536 Pa
0.732 0.232 0.464 Pa
```

Magnetization: 0.00 μB per cell
Energy of formation from the pure elements: 301 meV/atom
Total DFT energy (no corrections): -39.639 eV per cell


Entry 4:
# IrPtSe2

An optimized crystal structure of IrPtSe2 (PBE-GGA, Alexandria).

Cell and atoms, written as POSCAR:
```
IrPtSe2
1.0
2.938 -0.010 0.000
-1.532 2.507 0.000
0.000 0.000 10.022
Ir Pt Se
1 1 2
direct
0.000 0.000 0.505 Ir
0.500 0.500 0.738 Pt
0.000 0.000 0.958 Se
0.500 0.500 0.299 Se
```

Formation energy (no corrections): 0.361 eV/atom
Magnetization: 0.00 μB per cell
Total DFT energy (no corrections): -20.425 eV per cell


Among the records above, which one has the highest total DFT energy (no corrections)? HoEr2Hg


What is the formula in the second record? HoEr2Hg